No. 1
DFT (PBE) results for an optimized crystal structure of Sm3SiPb2.

abc: 12.8215 4.4078 12.2173
angles: 90.00 90.00 90.00
Fractional positions:
1 Sm 0.0585 0.2500 0.1195
2 Sm 0.1119 0.7500 0.5439
3 Sm 0.2445 0.2500 0.7816
4 Sm 0.2555 0.7500 0.2816
5 Sm 0.3881 0.2500 0.0439
6 Sm 0.4415 0.7500 0.6195
7 Sm 0.5585 0.2500 0.3805
8 Sm 0.6119 0.7500 0.9561
9 Sm 0.7445 0.2500 0.7184
10 Sm 0.7555 0.7500 0.2184
11 Sm 0.8881 0.2500 0.4561
12 Sm 0.9415 0.7500 0.8805
13 Si 0.1236 0.2500 0.3713
14 Si 0.3764 0.7500 0.8713
15 Si 0.6236 0.2500 0.1287
16 Si 0.8764 0.7500 0.6287
17 Pb 0.0098 0.2500 0.7077
18 Pb 0.1905 0.7500 0.9955
19 Pb 0.3095 0.2500 0.4955
20 Pb 0.4902 0.7500 0.2077
21 Pb 0.5098 0.2500 0.7923
22 Pb 0.6905 0.7500 0.5045
23 Pb 0.8095 0.2500 0.0045
24 Pb 0.9902 0.7500 0.2923

Uncorrected formation energy ... -504.9 meV per atom
Uncorrected energy ... -5.00 eV/atom

No. 2
DFT (PBE) results for an optimized crystal structure of Sm6Si2Pb.

abc: 8.7323 8.7323 8.7323
angles: 112.74 110.44 105.31
Fractional positions:
1 Sm 0.0288 0.2378 0.7910
2 Sm 0.1883 0.2799 0.4682
3 Sm 0.1883 0.7201 0.9084
4 Sm 0.3192 0.0230 0.7038
5 Sm 0.3192 0.6154 0.2962
6 Sm 0.4469 0.2378 0.2090
7 Sm 0.5531 0.7622 0.7910
8 Sm 0.6808 0.3846 0.7038
9 Sm 0.6808 0.9770 0.2962
10 Sm 0.8117 0.2799 0.0916
11 Sm 0.8117 0.7201 0.5318
12 Sm 0.9712 0.7622 0.2090
13 Si 0.1126 0.6126 0.5000
14 Si 0.3758 0.0000 0.3758
15 Si 0.6242 0.0000 0.6242
16 Si 0.8874 0.3874 0.5000
17 Pb 0.0000 0.0000 0.0000
18 Pb 0.5000 0.5000 0.0000

Uncorrected formation energy ... -525.8 meV per atom
Uncorrected energy ... -5.29 eV/atom

No. 3
DFT (PBE) results for an optimized crystal structure of Sm12Si5Pb.

abc: 8.6668 8.6668 8.6668
angles: 112.24 111.11 105.15
Fractional positions:
1 Sm 0.0297 0.2286 0.8012
2 Sm 0.1814 0.2709 0.4523
3 Sm 0.1814 0.7291 0.9105
4 Sm 0.3195 0.0225 0.7031
5 Sm 0.3195 0.6164 0.2969
6 Sm 0.4274 0.2286 0.1988
7 Sm 0.5726 0.7714 0.8012
8 Sm 0.6805 0.3836 0.7031
9 Sm 0.6805 0.9775 0.2969
10 Sm 0.8186 0.2709 0.0895
11 Sm 0.8186 0.7291 0.5477
12 Sm 0.9703 0.7714 0.1988
13 Si 0.0000 0.0000 0.0000
14 Si 0.1131 0.6131 0.5000
15 Si 0.3759 0.0000 0.3759
16 Si 0.6241 0.0000 0.6241
17 Si 0.8869 0.3869 0.5000
18 Pb 0.5000 0.5000 0.0000

Uncorrected formation energy ... -534.8 meV per atom
Uncorrected energy ... -5.39 eV/atom

No. 4
DFT (PBE) results for an optimized crystal structure of Sm4SiTe2Pb.

abc: 7.6803 4.3816 7.7117
angles: 90.00 109.02 90.00
Fractional positions:
1 Sm 0.2307 0.0000 0.2266
2 Sm 0.2419 0.5000 0.7637
3 Sm 0.7581 0.5000 0.2363
4 Sm 0.7693 0.0000 0.7734
5 Si 0.0000 0.5000 0.0000
6 Te 0.0000 0.0000 0.5000
7 Te 0.5000 0.5000 0.5000
8 Pb 0.5000 0.0000 0.0000

Uncorrected formation energy ... -1044.3 meV per atom
Uncorrected energy ... -5.33 eV/atom

No. 5
DFT (PBE) results for an optimized crystal structure of Sm6Si2Te3Pb.

abc: 9.8670 9.8670 8.8953
angles: 103.65 103.65 25.49
Fractional positions:
1 Sm 0.0096 0.0096 0.2544
2 Sm 0.3262 0.3262 0.4322
3 Sm 0.3315 0.3315 0.8924
4 Sm 0.6685 0.6685 0.1076
5 Sm 0.6738 0.6738 0.5678
6 Sm 0.9904 0.9904 0.7456
7 Si 0.1681 0.1681 0.3361
8 Si 0.8319 0.8319 0.6639
9 Te 0.1638 0.1638 0.8325
10 Te 0.5000 0.5000 0.5000
11 Te 0.8362 0.8362 0.1675
12 Pb 0.5000 0.5000 0.0000

Uncorrected formation energy ... -1070.5 meV per atom
Uncorrected energy ... -5.43 eV/atom

No. 6
DFT (PBE) results for an optimized crystal structure of SiSn3Pb.

abc: 5.7287 5.7287 5.7287
angles: 90.00 90.00 90.00
Fractional positions:
1 Si 0.0000 0.0000 0.0000
2 Sn 0.0000 0.5000 0.5000
3 Sn 0.5000 0.0000 0.5000
4 Sn 0.5000 0.5000 0.0000
5 Pb 0.5000 0.5000 0.5000

Uncorrected formation energy ... 1141.1 meV per atom
Polymorph energy (0 for the lowest one) ... 758.9 meV per atom
Uncorrected energy ... -3.09 eV/atom

no.,spin magnetization (Bohr magnetons per cell)
1,0.003
2,0.000
3,0.000
4,0.000
5,0.000
6,0.000